# 1
Entry from Alexandria via LeMat-Bulk: an optimized crystal structure of Rb2CeCuCl6 (PBE).

Properties
Density, g cm⁻³: 3.0
Formation energy (no corrections), eV/f.u.: -17.5
Magnetic moment, μB per cell: 2.001
Space group: Pmmn (59)

Unit cell a=7.881 b=8.514 c=9.643 alpha=90.00 beta=90.00 gamma=90.00
Sites, in units of the cell vectors:
Cl 0.259 0.042 0.500
Cl 0.000 0.765 0.716
Cl 0.000 0.765 0.284
Cl 0.759 0.958 0.000
Cl 0.257 0.508 0.500
Cl 0.243 0.492 0.000
Cl 0.500 0.235 0.216
Cl 0.757 0.492 0.000
Cl 0.500 0.235 0.784
Cl 0.241 0.958 0.000
Cl 0.741 0.042 0.500
Cl 0.743 0.508 0.500
Cu 0.500 0.354 0.000
Cu 0.000 0.646 0.500
Ce 0.000 0.725 0.000
Ce 0.500 0.275 0.500
Rb 0.500 0.820 0.741
Rb 0.000 0.180 0.759
Rb 0.000 0.180 0.241
Rb 0.500 0.820 0.259

# 2
Entry from Alexandria via LeMat-Bulk: an optimized crystal structure of MgPtCl2 (PBE).

Properties
Density, g cm⁻³: 6.4
Formation energy (no corrections), eV/f.u.: -1.5
Magnetic moment, μB per cell: 0.000
Space group: Pmmm (47)

Unit cell a=3.208 b=5.679 c=4.123 alpha=90.00 beta=90.00 gamma=90.00
Sites, in units of the cell vectors:
Mg 0.500 0.000 0.500
Cl 0.500 0.500 0.000
Cl 0.000 0.000 0.000
Pt 0.000 0.500 0.500

# 3
Entry from Alexandria via LeMat-Bulk: an optimized crystal structure of NaI2Br6 (PBE).

Properties
Density, g cm⁻³: 3.3
Formation energy (no corrections), eV/f.u.: -2.9
Magnetic moment, μB per cell: 0.000
Space group: C2/c (15)

Unit cell a=8.902 b=9.635 c=9.635 alpha=100.31 beta=75.96 gamma=75.96
Sites, in units of the cell vectors:
I 0.163 0.275 0.419
I 0.837 0.725 0.581
I 0.663 0.419 0.275
I 0.337 0.581 0.725
Br 0.106 0.499 0.290
Br 0.691 0.578 0.073
Br 0.394 0.710 0.501
Br 0.606 0.290 0.499
Br 0.398 0.084 0.134
Br 0.102 0.866 0.916
Br 0.191 0.073 0.578
Br 0.894 0.501 0.710
Br 0.602 0.916 0.866
Br 0.898 0.134 0.084
Br 0.809 0.927 0.422
Br 0.309 0.422 0.927
Na 0.250 0.125 0.875
Na 0.750 0.875 0.125

# 4
Entry from Alexandria via LeMat-Bulk: an optimized crystal structure of YPdSe2 (PBE).

Properties
Density, g cm⁻³: 6.6
Formation energy (no corrections), eV/f.u.: -3.9
Magnetic moment, μB per cell: 0.002
Space group: R3m (160)

Unit cell a=4.037 b=4.037 c=6.750 alpha=72.60 beta=72.60 gamma=60.00
Sites, in units of the cell vectors:
Y 0.498 0.498 0.505
Se 0.075 0.075 0.774
Se 0.255 0.255 0.234
Pd 0.671 0.671 0.987

# 5
Entry from Alexandria via LeMat-Bulk: an optimized crystal structure of U2CrPd9 (PBE).

Properties
ΔH_f (0 K), eV per atom: -0.390
Density, g cm⁻³: 12.2
Magnetic moment, μB per cell: 7.184
Space group: P4/mmm (123)

Unit cell a=4.096 b=4.096 c=12.067 alpha=90.00 beta=90.00 gamma=90.00
Sites, in units of the cell vectors:
Pd 0.500 0.500 0.000
Pd 0.500 0.500 0.330
Pd 0.500 0.000 0.160
Pd 0.000 0.500 0.840
Pd 0.000 0.500 0.160
Pd 0.500 0.500 0.670
Pd 0.500 0.000 0.840
Pd 0.500 0.000 0.500
Pd 0.000 0.500 0.500
Cr 0.000 0.000 0.000
U 0.000 0.000 0.677
U 0.000 0.000 0.323

# 6
Entry from Alexandria via LeMat-Bulk: an optimized crystal structure of NbPtPb3 (PBE).

Properties
ΔH_f (0 K), eV per atom: 0.996
Density, g cm⁻³: 10.0
Magnetic moment, μB per cell: 0.003
Space group: Pm-3m (221)

Unit cell a=5.326 b=5.326 c=5.326 alpha=90.00 beta=90.00 gamma=90.00
Sites, in units of the cell vectors:
Nb 0.500 0.500 0.500
Pt 0.000 0.000 0.000
Pb 0.000 0.000 0.500
Pb 0.500 0.000 0.000
Pb 0.000 0.500 0.000

Q: Among the records above, which one has the lowest density?
A: Rb2CeCuCl6